{
  "formula": "K2ScP",
  "functional": "PBE",
  "state": "relaxed",
  "total_magnetization_mub_per_fu": 0.534,
  "energy_ev_per_atom": -3.87,
  "lattice_angstrom": [[3.7101, 0.0000, 0.0000], [0.0000, 3.7101, 0.0000], [0.0000, 0.0000, 10.6128]],
  "species": ["K", "K", "Sc", "P"],
  "fractional_positions": [[0.0000, 0.0000, 0.0000], [0.5000, 0.5000, 0.3790], [0.5000, 0.5000, 0.7029], [0.0000, 0.0000, 0.6698]]
}

---

{
  "formula": "Ti2PdRu2",
  "functional": "PBE",
  "state": "relaxed",
  "polymorph_energy_mev_per_atom": 0,
  "total_magnetization_mub_per_fu": 0.000,
  "lattice_angstrom": [[7.1144, 0.0000, 0.0000], [0.0000, 7.1144, 0.0000], [0.0000, 0.0000, 3.0525]],
  "species": ["Ti", "Ti", "Ti", "Ti", "Pd", "Pd", "Ru", "Ru", "Ru", "Ru"],
  "fractional_positions": [[0.1612, 0.3388, 0.0000], [0.3388, 0.8388, 0.0000], [0.6612, 0.1612, 0.0000], [0.8388, 0.6612, 0.0000], [0.0000, 0.0000, 0.5000], [0.5000, 0.5000, 0.5000], [0.1373, 0.6373, 0.5000], [0.3627, 0.1373, 0.5000], [0.6373, 0.8627, 0.5000], [0.8627, 0.3627, 0.5000]]
}

---

{
  "formula": "Ta2V9Mo",
  "functional": "PBE",
  "state": "relaxed",
  "total_magnetization_mub_per_fu": 0.000,
  "energy_ev_per_atom": -9.57,
  "lattice_angstrom": [[2.5396, 1.4663, 7.9843], [-2.5396, 1.4663, 7.9843], [0.0000, -2.9325, 7.9843]],
  "species": ["Ta", "Ta", "V", "V", "V", "V", "V", "V", "V", "V", "V", "Mo"],
  "fractional_positions": [[0.1447, 0.1447, 0.1447], [0.8553, 0.8553, 0.8553], [0.0814, 0.5834, 0.5834], [0.3324, 0.3324, 0.3324], [0.4166, 0.4166, 0.9186], [0.4166, 0.9186, 0.4166], [0.5000, 0.5000, 0.5000], [0.5834, 0.0814, 0.5834], [0.5834, 0.5834, 0.0814], [0.6676, 0.6676, 0.6676], [0.9186, 0.4166, 0.4166], [0.0000, 0.0000, 0.0000]]
}

---

{
  "formula": "Pu2GeBi",
  "functional": "PBE",
  "state": "relaxed",
  "polymorph_energy_mev_per_atom": 128,
  "total_magnetization_mub_per_fu": 11.618,
  "lattice_angstrom": [[7.4605, 0.0000, 0.0000], [0.0000, 7.4605, 0.0000], [0.0000, 0.0000, 7.4605]],
  "species": ["Pu", "Pu", "Pu", "Pu", "Pu", "Pu", "Pu", "Pu", "Ge", "Ge", "Ge", "Ge", "Bi", "Bi", "Bi", "Bi"],
  "fractional_positions": [[0.2500, 0.2500, 0.2500], [0.2500, 0.2500, 0.7500], [0.2500, 0.7500, 0.2500], [0.2500, 0.7500, 0.7500], [0.7500, 0.2500, 0.2500], [0.7500, 0.2500, 0.7500], [0.7500, 0.7500, 0.2500], [0.7500, 0.7500, 0.7500], [0.0000, 0.0000, 0.0000], [0.0000, 0.5000, 0.5000], [0.5000, 0.0000, 0.5000], [0.5000, 0.5000, 0.0000], [0.0000, 0.0000, 0.5000], [0.0000, 0.5000, 0.0000], [0.5000, 0.0000, 0.0000], [0.5000, 0.5000, 0.5000]]
}